Record 1
CaGdAlTl | PBE | relaxed

Results
**Uncorrected energy**: -23.4 eV per cell
**E_form**: -30.36 kJ/mol of atoms

abc: 5.3337 5.3337 5.3337
angles: 60.00 60.00 60.00
Atoms (fractional coordinates):
Ca 0.0000 0.0000 0.0000
Gd 0.5000 0.5000 0.5000
Al 0.7500 0.7500 0.7500
Tl 0.2500 0.2500 0.2500

***

Record 2
CaGdYAl | PBE | relaxed

Results
**Uncorrected energy**: -26.6 eV per cell
**E_form**: -6.54 kJ/mol of atoms

abc: 5.4071 5.4071 5.4071
angles: 60.00 60.00 60.00
Atoms (fractional coordinates):
Ca 0.0000 0.0000 0.0000
Gd 0.7500 0.7500 0.7500
Y 0.2500 0.2500 0.2500
Al 0.5000 0.5000 0.5000

***

Record 3
CaGdAlZn | PBE | relaxed

Results
**Uncorrected energy**: -22.3 eV per cell
**E_form**: -28.65 kJ/mol of atoms

abc: 5.1798 5.1798 5.1798
angles: 60.00 60.00 60.00
Atoms (fractional coordinates):
Ca 0.0000 0.0000 0.0000
Gd 0.5000 0.5000 0.5000
Al 0.2500 0.2500 0.2500
Zn 0.7500 0.7500 0.7500

***

Record 4
CaAl2Ge2 | PBE | relaxed

Results
**Uncorrected energy**: -41.1 eV per cell
**E_form**: -34.81 kJ/mol of atoms

abc: 4.2236 4.2236 14.2634
angles: 90.00 90.00 120.00
Atoms (fractional coordinates):
Ca 0.0000 0.0000 0.2500
Ca 0.0000 0.0000 0.7500
Al 0.3333 0.6667 0.0657
Al 0.3333 0.6667 0.4343
Al 0.6667 0.3333 0.5657
Al 0.6667 0.3333 0.9343
Ge 0.3333 0.6667 0.6190
Ge 0.3333 0.6667 0.8810
Ge 0.6667 0.3333 0.1190
Ge 0.6667 0.3333 0.3810

***

Record 5
Ca2AlGe3 | PBE | relaxed

Results
**Uncorrected energy**: -98.3 eV per cell
**E_form**: -47.94 kJ/mol of atoms

abc: 7.0482 4.2406 18.5948
angles: 90.00 90.00 90.00
Atoms (fractional coordinates):
Ca 0.1609 0.2500 0.0793
Ca 0.1999 0.2500 0.3006
Ca 0.3001 0.7500 0.8006
Ca 0.3391 0.7500 0.5793
Ca 0.6609 0.2500 0.4207
Ca 0.6999 0.2500 0.1994
Ca 0.8001 0.7500 0.6994
Ca 0.8391 0.7500 0.9207
Al 0.0363 0.7500 0.4403
Al 0.4637 0.2500 0.9403
Al 0.5363 0.7500 0.0597
Al 0.9637 0.2500 0.5597
Ge 0.0206 0.7500 0.1882
Ge 0.1217 0.2500 0.6874
Ge 0.2386 0.2500 0.4643
Ge 0.2614 0.7500 0.9643
Ge 0.3783 0.7500 0.1874
Ge 0.4794 0.2500 0.6882
Ge 0.5206 0.7500 0.3118
Ge 0.6217 0.2500 0.8126
Ge 0.7386 0.2500 0.0357
Ge 0.7614 0.7500 0.5357
Ge 0.8783 0.7500 0.3126
Ge 0.9794 0.2500 0.8118

***

Record 6
Ca10Al6Ge9 | PBE | relaxed

Results
**Uncorrected energy**: -195.2 eV per cell
**E_form**: -52.46 kJ/mol of atoms

abc: 10.6977 10.6977 10.6977
angles: 81.35 81.35 81.35
Atoms (fractional coordinates):
Ca 0.0000 0.0000 0.0000
Ca 0.0000 0.2924 0.7076
Ca 0.0000 0.7076 0.2924
Ca 0.1571 0.1571 0.4474
Ca 0.1571 0.4474 0.1571
Ca 0.2063 0.5000 0.7937
Ca 0.2063 0.7937 0.5000
Ca 0.2924 0.0000 0.7076
Ca 0.2924 0.7076 0.0000
Ca 0.4474 0.1571 0.1571
Ca 0.5000 0.2063 0.7937
Ca 0.5000 0.5000 0.5000
Ca 0.5000 0.7937 0.2063
Ca 0.5526 0.8429 0.8429
Ca 0.7076 0.0000 0.2924
Ca 0.7076 0.2924 0.0000
Ca 0.7937 0.2063 0.5000
Ca 0.7937 0.5000 0.2063
Ca 0.8429 0.5526 0.8429
Ca 0.8429 0.8429 0.5526
Al 0.0013 0.2149 0.2149
Al 0.1833 0.4694 0.4694
Al 0.2149 0.0013 0.2149
Al 0.2149 0.2149 0.0013
Al 0.4694 0.1833 0.4694
Al 0.4694 0.4694 0.1833
Al 0.5306 0.5306 0.8167
Al 0.5306 0.8167 0.5306
Al 0.7851 0.7851 0.9987
Al 0.7851 0.9987 0.7851
Al 0.8167 0.5306 0.5306
Al 0.9987 0.7851 0.7851
Ge 0.0129 0.0129 0.6855
Ge 0.0130 0.6088 0.6088
Ge 0.0129 0.6855 0.0129
Ge 0.2957 0.2957 0.6180
Ge 0.2957 0.6180 0.2957
Ge 0.3145 0.9871 0.9871
Ge 0.3820 0.7043 0.7043
Ge 0.3912 0.3912 0.9870
Ge 0.3912 0.9870 0.3912
Ge 0.6088 0.0130 0.6088
Ge 0.6088 0.6088 0.0130
Ge 0.6180 0.2957 0.2957
Ge 0.6856 0.0129 0.0129
Ge 0.7043 0.3820 0.7043
Ge 0.7043 0.7043 0.3820
Ge 0.9871 0.3144 0.9871
Ge 0.9870 0.3912 0.3912
Ge 0.9871 0.9871 0.3145

***

Please write out number 4 again, unchanged.
CaAl2Ge2 | PBE | relaxed

Results
**Uncorrected energy**: -41.1 eV per cell
**E_form**: -34.81 kJ/mol of atoms

abc: 4.2236 4.2236 14.2634
angles: 90.00 90.00 120.00
Atoms (fractional coordinates):
Ca 0.0000 0.0000 0.2500
Ca 0.0000 0.0000 0.7500
Al 0.3333 0.6667 0.0657
Al 0.3333 0.6667 0.4343
Al 0.6667 0.3333 0.5657
Al 0.6667 0.3333 0.9343
Ge 0.3333 0.6667 0.6190
Ge 0.3333 0.6667 0.8810
Ge 0.6667 0.3333 0.1190
Ge 0.6667 0.3333 0.3810